1.
Here is an optimized crystal structure of NaLaIr4 from Alexandria. Energies are from PBE-GGA.

Results
- total DFT energy (no corrections) (eV per atom) = -7.257
- E_form (eV/atom) = -0.31

Unit cell a=7.6205 b=7.6205 c=7.6205 alpha=90.00 beta=90.00 gamma=90.00
Space group F-43m (No. 216)
Asymmetric unit:
Na1 0.0000 0.0000 0.0000
La1 0.2500 0.2500 0.7500
Ir1 0.1253 0.1253 0.3747


2.
Here is an optimized crystal structure of Zr8Sb2Pb from Alexandria. Energies are from PBE-GGA.

Results
- total DFT energy (no corrections) (eV per atom) = -7.509
- uncorrected formation energy (meV per atom) = -206

Unit cell a=7.9026 b=13.2187 c=5.4894 alpha=90.00 beta=113.07 gamma=90.00
Space group C2/m (No. 12)
Asymmetric unit:
Zr1 0.0000 0.2322 0.0000
Zr2 0.0887 0.5000 0.8050
Zr3 0.2014 0.1131 0.6341
Sb1 0.0000 0.3060 0.5000
Pb1 0.0000 0.0000 0.0000


3.
Here is an optimized crystal structure of RbCaRhCl6 from Alexandria. Energies are from PBE-GGA.

Results
- total DFT energy (no corrections) (eV per atom) = -3.887
- uncorrected formation energy (meV per atom) = -1510

Unit cell a=6.7203 b=6.7203 c=7.2711 alpha=90.00 beta=90.00 gamma=120.00
Space group P312 (No. 149)
Asymmetric unit:
Rb1 0.0000 0.0000 0.0000
Ca1 0.6667 0.3333 0.5000
Rh1 0.3333 0.6667 0.5000
Cl1 0.0416 0.3858 0.3074


4.
Here is an optimized crystal structure of LiZr2W from Alexandria. Energies are from PBE-GGA.

Results
- total DFT energy (no corrections) (eV per atom) = -7.668
- E_form (eV/atom) = 0.32

Unit cell a=3.6228 b=4.5205 c=9.0999 alpha=90.00 beta=90.00 gamma=90.00
Space group Imm2 (No. 44)
Asymmetric unit:
Li1 0.0000 0.0000 0.0000
Zr1 0.0000 0.0000 0.4802
Zr2 0.0000 0.5000 0.2525
W1 0.0000 0.5000 0.7217


5.
Here is an optimized crystal structure of Sm3Er2TmTe6 from Alexandria. Energies are from PBE-GGA.

Results
- total DFT energy (no corrections) (eV per atom) = -5.179
- uncorrected formation energy (meV per atom) = -1295

Unit cell a=19.2103 b=4.3335 c=8.8553 alpha=90.00 beta=104.92 gamma=90.00
Space group C2/m (No. 12)
Asymmetric unit:
Sm1 0.0000 0.0000 0.0000
Sm2 0.1672 0.5000 0.3330
Er1 0.1673 0.5000 0.8340
Tm1 0.0000 0.0000 0.5000
Te1 0.0024 0.5000 0.7426
Te2 0.1635 0.0000 0.5889
Te3 0.1688 0.0000 0.0769


6.
Here is an optimized crystal structure of ErMg2Hg from Alexandria. Energies are from PBE-GGA.

Results
- total DFT energy (no corrections) (eV per atom) = -1.896
- E_form (eV/atom) = 0.12
- energy above the lowest structure with this stoichiometry (eV/atom) = 0.368

Unit cell a=3.2636 b=3.2636 c=33.5675 alpha=90.00 beta=90.00 gamma=120.00
Space group R-3m (No. 166, hexagonal axes)
Asymmetric unit:
Er1 0.0000 0.0000 0.0000
Mg1 0.0000 0.0000 0.0955
Hg1 0.0000 0.0000 0.5000


7.
Here is an optimized crystal structure of BaLi2TcO4 from Alexandria. Energies are from PBE-GGA.

Results
- total DFT energy (no corrections) (eV per atom) = -6.263
- uncorrected formation energy (meV per atom) = -1769

Unit cell a=5.3463 b=5.5628 c=7.5938 alpha=90.00 beta=90.00 gamma=90.00
Space group I222 (No. 23)
Asymmetric unit:
Ba1 0.0000 0.0000 0.0000
Li1 0.0000 0.5000 0.2417
Tc1 0.0000 0.0000 0.5000
O1 0.1678 0.2074 0.6624


8.
Here is an optimized crystal structure of TbYTm14 from Alexandria. Energies are from PBE-GGA.

Results
- total DFT energy (no corrections) (eV per atom) = -4.544
- E_form (eV/atom) = 0.06

Unit cell a=10.9347 b=8.0919 c=11.0398 alpha=90.00 beta=90.00 gamma=90.00
Space group Amm2 (No. 38)
Asymmetric unit:
Tb1 0.0000 0.0000 0.0000
Y1 0.0000 0.0000 0.5519
Tm1 0.0000 0.2040 0.2734
Tm2 0.2324 0.0000 0.7610
Tm3 0.2524 0.2090 0.4817
Tm4 0.2694 0.0000 0.2033
Tm5 0.5000 0.0000 0.4121
Tm6 0.5000 0.0000 0.9642
Tm7 0.5000 0.2042 0.6921


> Which value of total DFT energy (no corrections) does entry 7 give?

-6.263 eV per atom


> Which value of total DFT energy (no corrections) does entry 3 give?

-3.887 eV per atom


> What is the formula in the sixth record?

ErMg2Hg


> Look up the total DFT energy (no corrections) of the second one.

-7.509 eV per atom